Mn4CdNi | PBE-GGA | optimized geometry

CIF file:
```
data_Mn4CdNi
_cell_length_a 6.7476
_cell_length_b 6.7476
_cell_length_c 6.7476
_cell_angle_alpha 90.00
_cell_angle_beta 90.00
_cell_angle_gamma 90.00
_symmetry_space_group_name_H-M 'F -4 3 m'
_symmetry_Int_Tables_number 216
_symmetry_space_group_name_Hall 'F -4 2 3'
loop_
_atom_site_label
_atom_site_type_symbol
_atom_site_fract_x
_atom_site_fract_y
_atom_site_fract_z
Mn1 Mn 0.1244 0.1244 0.1244
Cd1 Cd 0.0000 0.0000 0.5000
Ni1 Ni 0.2500 0.2500 0.7500
```

Properties
VASP energy = -0.2511 hartree per atom
Volume = 307.2 Å³/cell
Total magnetization = 5.405 μB/f.u.

K2PaH2O6 | PBE-GGA | optimized geometry

CIF file:
```
data_K2PaH2O6
_cell_length_a 5.4319
_cell_length_b 5.4319
_cell_length_c 5.8906
_cell_angle_alpha 90.00
_cell_angle_beta 90.00
_cell_angle_gamma 120.00
_symmetry_space_group_name_H-M 'P -3 m 1'
_symmetry_Int_Tables_number 164
_symmetry_space_group_name_Hall '-P 3 2"'
loop_
_atom_site_label
_atom_site_type_symbol
_atom_site_fract_x
_atom_site_fract_y
_atom_site_fract_z
K1 K 0.3333 0.6667 0.3485
Pa1 Pa 0.0000 0.0000 0.0000
H1 H 0.3333 0.6667 0.8198
O1 O 0.1848 0.3696 0.8027
```

Properties
VASP energy = -0.2153 hartree per atom
Volume = 150.5 Å³/cell
Total magnetization = 0.000 μB/f.u.

YCo2Pb | PBE-GGA | optimized geometry

CIF file:
```
data_YCo2Pb
_cell_length_a 4.0276
_cell_length_b 4.0276
_cell_length_c 17.2155
_cell_angle_alpha 90.00
_cell_angle_beta 90.00
_cell_angle_gamma 120.00
_symmetry_space_group_name_H-M 'R 3 m'
_symmetry_Int_Tables_number 160
_symmetry_space_group_name_Hall 'R 3 -2"'
loop_
_atom_site_label
_atom_site_type_symbol
_atom_site_fract_x
_atom_site_fract_y
_atom_site_fract_z
Y1 Y 0.0000 0.0000 0.0000
Co1 Co 0.0000 0.0000 0.4365
Co2 Co 0.0000 0.0000 0.7697
Pb1 Pb 0.0000 0.0000 0.1931
```

Properties
VASP energy = -0.2270 hartree per atom
Volume = 241.9 Å³/cell
Total magnetization = 1.685 μB/f.u.

Sm2Tl2TcO6 | PBE-GGA | optimized geometry

CIF file:
```
data_Sm2Tl2TcO6
_cell_length_a 5.9615
_cell_length_b 10.2773
_cell_length_c 6.7699
_cell_angle_alpha 90.00
_cell_angle_beta 104.61
_cell_angle_gamma 90.00
_symmetry_space_group_name_H-M 'C 1 2/m 1'
_symmetry_Int_Tables_number 12
_symmetry_space_group_name_Hall '-C 2y'
loop_
_atom_site_label
_atom_site_type_symbol
_atom_site_fract_x
_atom_site_fract_y
_atom_site_fract_z
Sm1 Sm 0.0000 0.1653 0.0000
Tl1 Tl 0.0000 0.3393 0.5000
Tc1 Tc 0.0000 0.5000 0.0000
O1 O 0.1962 0.3483 0.1623
O2 O 0.2442 0.5000 0.8264
```

Properties
Formation energy (no corrections) = -1.976 eV/atom
Volume = 401.4 Å³/cell
Total magnetization = 3.000 μB/f.u.

Look up the total magnetization of the fourth one. 3.000 μB/f.u.

The highest total magnetization belongs to which entry? Mn4CdNi

The lowest total magnetization belongs to which entry? K2PaH2O6

Among the records above, which one has the lowest volume? K2PaH2O6